1.
Density functional theory data (meta-GGA SCAN) for LaRePb2 at its PBEsol-relaxed geometry.

Calculated values
energy above the most stable polymorph in this dataset: 0.34 eV/f.u.
energy of formation from the pure elements: 0.41 eV per atom

a = 4.4878 Å, b = 4.4878 Å, c = 4.7814 Å
α = 90.00°, β = 90.00°, γ = 90.00°
With the nearest neighbours (Å) after each atom.
Space group P4/mmm (No. 123)
Unique sites:
La 0.0000 0.0000 0.0000 (multiplicity 1)  4 Re 3.17, 8 Pb 3.28
Re 0.5000 0.5000 0.0000 (multiplicity 1)  4 La 3.17, 8 Pb 3.28
Pb 0.0000 0.5000 0.5000 (multiplicity 2)  4 Pb 3.17, 4 La 3.28, 4 Re 3.28

***

2.
Density functional theory data (meta-GGA SCAN) for MnAg3F at its PBEsol-relaxed geometry.

Calculated values
formation energy from raw total energies: 659 meV/atom

a = 4.8357 Å, b = 4.8357 Å, c = 4.8357 Å
α = 90.00°, β = 90.00°, γ = 90.00°
With the nearest neighbours (Å) after each atom.
Space group Pm-3m (No. 221)
Unique sites:
Mn 0.0000 0.0000 0.0000 (multiplicity 1)  6 Ag 2.42
Ag 0.0000 0.0000 0.5000 (multiplicity 3)  2 Mn 2.42
F 0.5000 0.5000 0.5000 (multiplicity 1)  12 Ag 3.42

***

3.
Density functional theory data (meta-GGA SCAN) for Be2Sb2Rh at its PBEsol-relaxed geometry.

Calculated values
formation energy from raw total energies: 832 meV/atom

a = 4.1802 Å, b = 4.1802 Å, c = 9.9690 Å
α = 90.00°, β = 90.00°, γ = 90.00°
With the nearest neighbours (Å) after each atom.
Space group I4/mmm (No. 139)
Unique sites:
Be 0.0000 0.0000 0.0990 (multiplicity 4)  1 Be 1.97
Sb 0.0000 0.5000 0.2500 (multiplicity 4)  4 Be 2.58
Rh 0.0000 0.0000 0.5000 (multiplicity 2)  8 Be 3.12, 8 Sb 3.25

***

4.
Density functional theory data (meta-GGA SCAN) for Li3Rh at its PBEsol-relaxed geometry.

Calculated values
energy of formation from the pure elements: -0.12 eV per atom

a = 8.9143 Å, b = 2.5717 Å, c = 4.8754 Å
α = 90.00°, β = 96.96°, γ = 90.00°
With the nearest neighbours (Å) after each atom.
Space group C2/m (No. 12)
Unique sites:
Li 0.0000 0.0000 0.0000 (multiplicity 2)  8 Li 2.57-2.82, 4 Rh 2.76
Li 0.2435 0.0000 0.7235 (multiplicity 4)  7 Li 2.55-2.82, 3 Rh 2.64-2.65
Rh 0.0000 0.5000 0.5000 (multiplicity 2)  2 Rh 2.57, 10 Li 2.64-2.76

***

Let's list calculated volume in order: 24.07 22.62 17.42 13.87 Å³/atom.